A | An optimized crystal structure of ScHgSbI2. Source: Alexandria via LeMat-Bulk, functional PBE.

Unit cell a=5.6795 b=5.6795 c=5.7899 alpha=90.00 beta=90.00 gamma=90.00
Last column: nearest neighbours and their distance in Å.
Fractional positions:
I1 0.0000 0.5000 0.0000  2 Sc 2.84
I2 0.5000 0.0000 0.0000  2 Sc 2.84
Sb1 0.0000 0.0000 0.5000  2 Sc 2.89
Sc1 0.0000 0.0000 0.0000  4 I 2.84, 2 Sb 2.89
Hg1 0.5000 0.5000 0.5000  4 Sb 4.02, 8 I 4.06

Properties
space group: No. 123

---

B | An optimized crystal structure of ScHgSbI2. Source: Alexandria via LeMat-Bulk, functional PBE.

Unit cell a=5.7610 b=5.7610 c=5.7009 alpha=90.00 beta=90.00 gamma=90.00
Last column: nearest neighbours and their distance in Å.
Fractional positions:
I1 0.0000 0.5000 0.0000  2 Hg 2.88
I2 0.5000 0.0000 0.0000  2 Hg 2.88
Sb1 0.0000 0.0000 0.5000  2 Hg 2.85
Sc1 0.5000 0.5000 0.5000  8 I 4.05, 4 Sb 4.07
Hg1 0.0000 0.0000 0.0000  2 Sb 2.85, 4 I 2.88

Properties
space group: No. 123

---

Short version: A, B, most stable first.